1 | The following is a DFT calculation (GGA-PBE) of a geometry-optimized Ca2ZnSnPb structure.

a = 5.9373 Å, b = 5.9373 Å, c = 5.8731 Å
α = 90.00°, β = 90.00°, γ = 90.00°
Fractional positions:
Ca: 0.0000 0.5000 0.0000
Ca: 0.5000 0.0000 0.0000
Zn: 0.0000 0.0000 0.5000
Sn: 0.5000 0.5000 0.0000
Pb: 0.5000 0.5000 0.5000

Calculated values
- Symmetry: P4/mmm, No. 123
- Size of the total moment: 0.0 μB/cell

***

2 | The following is a DFT calculation (GGA-PBE) of a geometry-optimized Ca2ZnSnPb structure.

a = 8.5561 Å, b = 4.5267 Å, c = 8.7709 Å
α = 90.00°, β = 116.56°, γ = 90.00°
Fractional positions:
Ca: 0.1615 0.2500 0.4530
Ca: 0.2253 0.7500 0.1052
Ca: 0.7747 0.2500 0.8948
Ca: 0.8385 0.7500 0.5470
Zn: 0.2559 0.7500 0.7465
Zn: 0.7441 0.2500 0.2535
Sn: 0.1169 0.2500 0.8043
Sn: 0.8831 0.7500 0.1957
Pb: 0.4898 0.2500 0.3705
Pb: 0.5102 0.7500 0.6295

Calculated values
- Symmetry: P2_1/m, No. 11
- Size of the total moment: 0.0 μB/cell

***

It is 1 that is the least stable of them.

***

1 | The following is a DFT calculation (GGA-PBE) of a geometry-optimized SrCa3Pb structure.

a = 6.1317 Å, b = 6.1317 Å, c = 6.1317 Å
α = 90.00°, β = 90.00°, γ = 90.00°
Fractional positions:
Sr: 0.0000 0.0000 0.0000
Ca: 0.0000 0.5000 0.5000
Ca: 0.5000 0.0000 0.5000
Ca: 0.5000 0.5000 0.0000
Pb: 0.5000 0.5000 0.5000

Calculated values
- Symmetry: Pm-3m, No. 221
- Size of the total moment: 1.7 μB/cell

***

2 | The following is a DFT calculation (GGA-PBE) of a geometry-optimized SrCa3Pb structure.

a = 6.1556 Å, b = 6.1556 Å, c = 6.1556 Å
α = 90.00°, β = 90.00°, γ = 90.00°
Fractional positions:
Sr: 0.0000 0.0000 0.0000
Ca: 0.0000 0.0000 0.5000
Ca: 0.0000 0.5000 0.0000
Ca: 0.5000 0.0000 0.0000
Pb: 0.5000 0.5000 0.5000

Calculated values
- Symmetry: Pm-3m, No. 221
- Size of the total moment: 2.0 μB/cell

***

It is 2 that is the least stable of them.

***

1 | The following is a DFT calculation (GGA-PBE) of a geometry-optimized Ca3TaPb structure.

a = 5.8196 Å, b = 5.8196 Å, c = 5.8196 Å
α = 90.00°, β = 90.00°, γ = 90.00°
Fractional positions:
Ca: 0.0000 0.0000 0.5000
Ca: 0.0000 0.5000 0.0000
Ca: 0.5000 0.0000 0.0000
Ta: 0.5000 0.5000 0.5000
Pb: 0.0000 0.0000 0.0000

Calculated values
- Symmetry: Pm-3m, No. 221
- Size of the total moment: 0.0 μB/cell

***

2 | The following is a DFT calculation (GGA-PBE) of a geometry-optimized Ca3TaPb structure.

a = 5.6258 Å, b = 5.6258 Å, c = 5.6258 Å
α = 90.00°, β = 90.00°, γ = 90.00°
Fractional positions:
Ca: 0.0000 0.0000 0.5000
Ca: 0.0000 0.5000 0.0000
Ca: 0.5000 0.0000 0.0000
Ta: 0.0000 0.0000 0.0000
Pb: 0.5000 0.5000 0.5000

Calculated values
- Symmetry: Pm-3m, No. 221
- Size of the total moment: 1.1 μB/cell

***

It is 1 that is the least stable of them.